An optimized crystal structure of NaMoI2O. Source: the Alexandria database, functional GGA+U.

Summary:
Density of states at the Fermi level = 9.4 states/eV/cell
Distance to the lowest polymorph of the same formula = 1189 meV/atom
Crystal system = tetragonal

abc: 5.7917 5.7917 4.1790
angles: 90.00 90.00 90.00
Fractional positions:
O: 0.0000 0.0000 0.5000
Mo: 0.5000 0.5000 0.5000
Na: 0.0000 0.0000 0.0000
I: 0.0000 0.5000 0.0000
I: 0.5000 0.0000 0.0000